# 1
The following is a PBE calculation of an optimized crystal structure of CeYAsO2, from the Alexandria database.

Geometry as extended XYZ:
```
5
Lattice="3.848 0.000 0.000 0.000 3.848 0.000 -1.924 -1.924 6.135" Properties=species:S:1:pos:R:3 pbc="T T T"
Ce 1.924 1.924 4.291
Y 0.000 0.000 1.870
As 0.000 0.000 6.107
O 1.924 0.000 3.069
O 0.000 1.924 3.069
```

Properties
size of the total moment: 0.17 μB/cell
energy relative to the elements, uncorrected: -2710 meV/atom
DOS(E_F): 1.3 states/eV/f.u.

---

# 2
The following is a PBE calculation of an optimized crystal structure of CeZrAsO, from the Alexandria database.

Geometry as extended XYZ:
```
8
Lattice="-3.540 0.357 -2.131 -1.948 -2.295 2.853 -2.038 7.499 4.640" Properties=species:S:1:pos:R:3 pbc="T T T"
Ce -2.753 5.399 5.477
Ce -2.029 1.131 -0.476
Zr -1.019 3.749 2.320
Zr -3.763 2.780 2.681
As -3.204 5.456 2.201
As -1.578 1.074 2.801
O -2.744 -0.969 0.361
O 0.000 0.000 0.000
```

Properties
size of the total moment: 0.74 μB/cell
energy relative to the elements, uncorrected: -1979 meV/atom
DOS(E_F): 5.6 states/eV/f.u.